VASP calculation (GGA+U) on a geometry-optimized Na2CoRuO4 structure.

## Properties
Raw total energy (eV/atom): -5.778
Crystal system: monoclinic
DOS at the Fermi energy (states/eV/f.u.): 3.5

The structure in CIF format:
```
data_Na2CoRuO4
_chemical_formula_sum 'Na2 Co1 Ru1 O4'
_cell_length_a 5.407
_cell_length_b 2.893
_cell_length_c 5.553
_cell_angle_alpha 90.00
_cell_angle_beta 107.02
_cell_angle_gamma 90.00
_space_group_name_H-M_alt 'P 1 2/m 1'
_space_group_IT_number 10
loop_
_space_group_symop_operation_xyz
'x,y,z'
'-x,-y,-z'
'-x,y,-z'
'x,-y,z'
loop_
_atom_site_label
_atom_site_fract_x
_atom_site_fract_y
_atom_site_fract_z
Na1 0.000 0.000 0.000
Na2 0.500 0.500 0.000
Co1 0.000 0.500 0.500
Ru1 0.500 0.000 0.500
O1 0.218 0.000 0.691
O2 0.246 0.500 0.297
```